1.
# Sc2Zn3Cu4

A geometry-optimized Sc2Zn3Cu4 structure (PBE, Alexandria).

Unit cell a=7.655 b=4.322 c=8.157 alpha=90.00 beta=93.24 gamma=90.00
Space group C2/m (No. 12)
Symmetry-distinct sites (fractional):
Sc 0.174 0.000 0.225 (multiplicity 4)
Zn 0.000 0.500 0.000 (multiplicity 2)
Zn 0.155 0.000 0.580 (multiplicity 4)
Cu 0.015 0.500 0.354 (multiplicity 4)
Cu 0.163 0.000 0.901 (multiplicity 4)

Computed properties:
**Density of states at the Fermi level**: 10.9 states/eV per cell
**Calculated formation energy**: -0.2293 eV per atom
**Total moment**: 0.00 μB/f.u.
**Electronic total energy**: -3.882 eV per atom


2.
# TbEuLu

A geometry-optimized TbEuLu structure (PBE, Alexandria).

Unit cell a=3.617 b=3.617 c=15.329 alpha=90.00 beta=90.00 gamma=90.00
Space group I4mm (No. 107)
Symmetry-distinct sites (fractional):
Tb 0.000 0.000 0.000 (multiplicity 2)
Eu 0.000 0.000 0.323 (multiplicity 2)
Lu 0.000 0.000 0.649 (multiplicity 2)

Computed properties:
**Density of states at the Fermi level**: 8.4 states/eV per cell
**Calculated formation energy**: 0.0705 eV per atom
**Total moment**: 7.11 μB/f.u.
**Electronic total energy**: -6.405 eV per atom


3.
# Y4Mg

A geometry-optimized Y4Mg structure (PBE, Alexandria).

Unit cell a=5.615 b=5.615 c=5.615 alpha=90.00 beta=90.00 gamma=90.00
Space group Pm-3m (No. 221)
Symmetry-distinct sites (fractional):
Y 0.000 0.000 0.000 (multiplicity 1)
Y 0.000 0.500 0.500 (multiplicity 3)
Mg 0.500 0.500 0.500 (multiplicity 1)

Computed properties:
**Density of states at the Fermi level**: 7.8 states/eV per cell
**Calculated formation energy**: 0.5405 eV per atom
**Total moment**: 0.00 μB/f.u.
**Electronic total energy**: -4.950 eV per atom


4.
# Ca6Tl3H

A geometry-optimized Ca6Tl3H structure (PBE, Alexandria).

Unit cell a=11.198 b=14.366 c=8.067 alpha=90.00 beta=90.00 gamma=90.00
Space group Cmc2_1 (No. 36)
Symmetry-distinct sites (fractional):
Ca 0.000 0.041 0.000 (multiplicity 4)
Ca 0.000 0.226 0.611 (multiplicity 4)
Ca 0.166 0.257 0.018 (multiplicity 8)
Ca 0.166 0.486 0.574 (multiplicity 8)
Tl 0.000 0.365 0.302 (multiplicity 4)
Tl 0.153 0.116 0.322 (multiplicity 8)
H 0.000 0.192 0.890 (multiplicity 4)

Computed properties:
**Density of states at the Fermi level**: 31.4 states/eV per cell
**Total moment**: 0.00 μB/f.u.
**Electronic total energy**: -2.509 eV per atom


5.
# Al2RhBr

A geometry-optimized Al2RhBr structure (PBE, Alexandria).

Unit cell a=6.539 b=6.539 c=6.539 alpha=90.00 beta=90.00 gamma=90.00
Space group Fm-3m (No. 225)
Symmetry-distinct sites (fractional):
Al 0.250 0.250 0.250 (multiplicity 8)
Rh 0.000 0.000 0.000 (multiplicity 4)
Br 0.000 0.000 0.500 (multiplicity 4)

Computed properties:
**Density of states at the Fermi level**: 15.0 states/eV per cell
**Total moment**: 0.00 μB/f.u.
**E_form (uncorrected)**: 341 meV per atom
**Electronic total energy**: -3.786 eV per atom


6.
# SrTaIn2

A geometry-optimized SrTaIn2 structure (PBE, Alexandria).

Unit cell a=3.3236 b=3.3236 c=31.4230 alpha=90.00 beta=90.00 gamma=120.00
Space group R-3m (No. 166, hexagonal axes)
Symmetry-distinct sites (fractional):
Sr 0.0000 0.0000 0.0000 (multiplicity 3)
Ta 0.0000 0.0000 0.5000 (multiplicity 3)
In 0.0000 0.0000 0.2419 (multiplicity 6)

Computed properties:
**Density of states at the Fermi level**: 8.0 states/eV per cell
**Calculated formation energy**: 0.2885 eV per atom
**Total moment**: 0.00 μB/f.u.
**Electronic total energy**: -4.464 eV per atom


7.
# Tb3PmCo

A geometry-optimized Tb3PmCo structure (PBE, Alexandria).

Unit cell a=7.856 b=7.411 c=9.948 alpha=90.00 beta=107.19 gamma=90.00
Space group P2_1/c (No. 14)
Symmetry-distinct sites (fractional):
Tb 0.074 0.128 0.387 (multiplicity 4)
Tb 0.209 0.503 0.613 (multiplicity 4)
Tb 0.410 0.699 0.966 (multiplicity 4)
Pm 0.319 0.057 0.748 (multiplicity 4)
Co 0.051 0.745 0.397 (multiplicity 4)

Computed properties:
**Density of states at the Fermi level**: 23.2 states/eV per cell
**Calculated formation energy**: -0.0124 eV per atom
**Total moment**: 0.00 μB/f.u.
**Electronic total energy**: -5.162 eV per atom


8.
# RbCuAu3

A geometry-optimized RbCuAu3 structure (PBE, Alexandria).

Unit cell a=5.028 b=5.028 c=5.028 alpha=90.00 beta=90.00 gamma=90.00
Space group Pm-3m (No. 221)
Symmetry-distinct sites (fractional):
Rb 0.000 0.000 0.000 (multiplicity 1)
Cu 0.500 0.500 0.500 (multiplicity 1)
Au 0.000 0.500 0.500 (multiplicity 3)

Computed properties:
**Density of states at the Fermi level**: 1.6 states/eV per cell
**Calculated formation energy**: 0.0856 eV per atom
**Total moment**: 0.00 μB/f.u.
**Electronic total energy**: -2.894 eV per atom


Question: Which of these has the highest density of states at the Fermi level?
Answer: Ca6Tl3H


Question: Which of these has the lowest density of states at the Fermi level?
Answer: RbCuAu3


Question: Among the records above, which one has the lowest electronic total energy?
Answer: TbEuLu